Density functional theory data (GGA-PBE) for crystalline Al2CoHg at its relaxed geometry.

a = 2.8945 Å, b = 2.8946 Å, c = 7.7345 Å
α = 90.00°, β = 90.00°, γ = 89.99°
With the nearest neighbours (Å) after each atom.
Sites, in units of the cell vectors:
Al (0.0000, 0.0000, 0.0298)  8 Al 2.89, 4 Hg 3.19
Hg (0.5000, 0.5000, 0.7141)  4 Co 2.83, 4 Hg 2.89
Al (0.5000, 0.5000, 0.2938)  4 Co 2.43
Co (0.0000, 0.0000, 0.4623)  4 Al 2.43

Output
The energy of formation from the pure elements is 0.069 eV per atom. Its space group is P4mm, No. 99. For the final energy, the calculation gives -14.62 eV for the cell shown. The value obtained for the spin magnetization is 0.00 μB per formula unit.



Density functional theory data (GGA-PBE) for crystalline K2As2PtO6 at its relaxed geometry.

a = 5.5013 Å, b = 6.7535 Å, c = 6.2012 Å
α = 107.98°, β = 90.00°, γ = 114.03°
With the nearest neighbours (Å) after each atom.
Sites, in units of the cell vectors:
O (0.3136, 0.1243, 0.7562)  1 As 1.76
O (0.1625, 0.3251, 0.3388)  1 As 1.68
As (0.0185, 0.0371, 0.2090)  3 O 1.68-1.76
O (0.8375, 0.6749, 0.6612)  1 As 1.68
Pt (0.5000, 0.0000, 0.5000)  4 O 2.04
O (0.1893, 0.8757, 0.2438)  1 As 1.76
K (0.2796, 0.5592, 0.7804)  1 O 2.63
O (0.8107, 0.1243, 0.7562)  1 As 1.76
As (0.9815, 0.9629, 0.7910)  3 O 1.68-1.76
K (0.7204, 0.4408, 0.2196)  1 O 2.63
O (0.6864, 0.8757, 0.2438)  1 As 1.76

Output
Its space group is C2/m, No. 12. For the final energy, the calculation gives -60.75 eV for the cell shown. As for the formation energy without anion corrections: -1.22 eV/atom. The value obtained for the spin magnetization is 0.00 μB per formula unit.